(1)
First-principles (GGA-PBE) data for a geometry-optimized KTlO2 structure, as listed in Alexandria.

The structure in extended XYZ format:
```
16
Lattice="7.1208 0.0000 0.0000 0.0000 3.7264 0.0000 -1.8418 0.0000 12.7523" Properties=species:S:1:pos:R:3 pbc="T T T"
K 2.9710 0.0000 4.9680
K 2.0501 1.8632 11.3442
K 4.9682 0.0000 1.9000
K 4.0473 1.8632 8.2761
Tl 0.9690 0.0000 8.0116
Tl 1.8899 1.8632 1.6355
Tl -1.3921 0.0000 11.4915
Tl -0.4712 1.8632 5.1154
O 2.2746 0.0000 0.2828
O 1.3536 1.8632 6.6590
O 5.8827 0.0000 7.7969
O 6.8036 1.8632 1.4207
O 2.4256 0.0000 9.4904
O 3.3465 1.8632 3.1143
O 5.4156 0.0000 6.4083
O 6.3365 1.8632 0.0321
```

Output
Electronic total energy in eV per atom: -4.201
E_form (uncorrected) in eV per atom: -0.856
Symmetry: No. 8
Crystal system: monoclinic

(2)
First-principles (GGA-PBE) data for a geometry-optimized KTlO2 structure, as listed in Alexandria.

The structure in extended XYZ format:
```
8
Lattice="-3.0793 2.3977 -0.5479 -1.3975 -2.6619 5.9272 5.5165 4.6443 0.4123" Properties=species:S:1:pos:R:3 pbc="T T T"
K 0.3168 2.2788 5.0246
K 2.6669 2.9561 2.3778
Tl -0.9711 1.7802 1.6301
Tl -0.1968 -1.1986 4.9265
O 0.5228 3.0617 0.7137
O 3.8692 4.8410 0.5380
O 0.3109 0.4491 2.9755
O 2.9780 2.4748 5.1072
```

Output
Electronic total energy in eV per atom: -4.165
E_form (uncorrected) in eV per atom: -0.820
Symmetry: No. 1
Crystal system: triclinic

(3)
First-principles (GGA-PBE) data for a geometry-optimized KTlO2 structure, as listed in Alexandria.

The structure in extended XYZ format:
```
8
Lattice="3.4653 0.0000 0.0000 1.6625 6.6275 0.0000 0.2980 1.9706 6.8112" Properties=species:S:1:pos:R:3 pbc="T T T"
K 1.5452 2.1611 0.7703
K 1.7291 3.2357 4.4831
Tl 1.6528 6.6748 4.8784
Tl 3.2141 5.4649 1.9185
O 3.5943 5.3696 5.6635
O 3.4524 2.0592 6.0748
O 3.1210 7.3903 3.4300
O 4.9212 6.7243 0.7309
```

Output
Electronic total energy in eV per atom: -4.135
E_form (uncorrected) in eV per atom: -0.790
Symmetry: No. 1
Crystal system: triclinic

(4)
First-principles (GGA-PBE) data for a geometry-optimized KTl2O4 structure, as listed in Alexandria.

The structure in extended XYZ format:
```
14
Lattice="6.9717 -0.5454 0.9449 -2.8370 6.3916 -0.9449 -1.2976 -3.4675 6.0073" Properties=species:S:1:pos:R:3 pbc="T T T"
K 0.0000 0.0000 0.0000
K 3.4858 1.9199 1.7380
Tl 4.5806 -1.0469 4.3444
Tl 1.0947 -0.7729 3.8727
Tl -0.3250 2.4225 3.4010
Tl 0.3238 4.1549 0.3966
O -1.4498 3.5773 1.8149
O 1.4488 3.3595 2.1899
O -2.0986 1.4832 4.6105
O -0.9275 -1.1772 4.9855
O 0.8000 1.2674 4.9867
O 2.5583 -1.8083 5.2511
O 3.1167 -0.3710 2.7587
O -0.3692 0.2621 2.4942
```

Output
Electronic total energy in eV per atom: -4.346
E_form (uncorrected) in eV per atom: -0.680
Symmetry: No. 141
Crystal system: tetragonal

(5)
First-principles (GGA-PBE) data for a geometry-optimized KTlO2 structure, as listed in Alexandria.

The structure in extended XYZ format:
```
8
Lattice="-0.6168 -1.4744 -3.3809 3.3815 -5.3911 2.5622 -7.0424 0.6392 2.5846" Properties=species:S:1:pos:R:3 pbc="T T T"
K 0.0361 -2.9204 0.3139
K -5.2479 -1.3106 -0.5941
Tl -3.2647 -3.1987 2.4148
Tl 1.7903 -4.8355 2.6589
O -5.1326 -3.7352 0.9803
O -6.8524 -0.0154 1.1176
O 0.2647 -5.4397 1.2285
O -0.5925 -1.7976 -1.9801
```

Output
Electronic total energy in eV per atom: -4.174
E_form (uncorrected) in eV per atom: -0.829
Symmetry: No. 1
Crystal system: triclinic

(6)
First-principles (GGA-PBE) data for a geometry-optimized K3TlO3 structure, as listed in Alexandria.

The structure in extended XYZ format:
```
14
Lattice="-1.7599 3.9384 3.5089 -6.3698 -5.1279 2.5608 7.5520 -0.2269 4.0423" Properties=species:S:1:pos:R:3 pbc="T T T"
K 1.6009 -2.6294 5.9571
K 1.0128 0.0597 2.6439
K 4.8085 -0.0554 4.6769
K -2.1786 1.2130 4.1549
K -1.5905 -1.4761 7.4681
K -5.3862 -1.3609 5.4352
Tl 1.5940 1.0941 6.1805
Tl -2.1716 -2.5105 3.9316
O 0.8507 -0.3992 7.4838
O 0.3515 1.8909 4.6630
O 3.5815 1.7913 6.3947
O -1.4284 -1.0171 2.6283
O -0.9292 -3.3072 5.4490
O -4.1591 -3.2077 3.7173
```

Output
Electronic total energy in eV per atom: -3.967
E_form (uncorrected) in eV per atom: -1.034
Symmetry: No. 63
Crystal system: orthorhombic

(7)
First-principles (GGA-PBE) data for a geometry-optimized KTlO2 structure, as listed in Alexandria.

The structure in extended XYZ format:
```
4
Lattice="-3.6934 -0.3638 -0.5750 -1.4025 -4.5347 -0.2857 -2.5923 -0.7598 5.0142" Properties=species:S:1:pos:R:3 pbc="T T T"
K -3.0098 -1.6174 3.3982
Tl -4.2646 -3.7377 0.5915
O -4.6308 -1.1310 1.2996
O -2.6316 -4.1583 2.5687
```

Output
Electronic total energy in eV per atom: -4.039
E_form (uncorrected) in eV per atom: -0.694
Symmetry: No. 1
Crystal system: triclinic

(8)
First-principles (GGA-PBE) data for a geometry-optimized K5TlO5 structure, as listed in Alexandria.

The structure in extended XYZ format:
```
11
Lattice="-3.2763 -1.3707 4.0611 2.2273 -5.0995 -3.5077 5.2682 1.7255 4.8325" Properties=species:S:1:pos:R:3 pbc="T T T"
K 0.2165 -2.3492 2.9652
K 3.0330 -1.2036 5.6241
K 2.6341 0.8628 2.4162
K 1.1861 -3.5410 -0.2382
K 4.0027 -2.3955 2.4206
Tl 0.0000 0.0000 0.0000
O -0.4637 -4.7385 1.6101
O 2.4508 -3.5415 4.3653
O -1.6381 -0.6853 2.0306
O 1.7684 -1.2031 1.0205
O 4.6829 -0.0062 3.7758
```

Output
Electronic total energy in eV per atom: -3.879
E_form (uncorrected) in eV per atom: -0.912
Symmetry: No. 12
Crystal system: monoclinic